A relaxed AgH2Se crystal. Source: Alexandria, functional PBE.

The structure in POSCAR format:
```
AgH2Se
1.0
6.1496 0.0000 0.0000
0.0000 6.1332 0.0000
-4.9030 0.0000 9.0427
Ag H Se
4 8 4
direct
0.2438 0.0252 0.1136
0.2438 0.4748 0.6136
0.7562 0.5252 0.3864
0.7562 0.9748 0.8864
0.0542 0.6380 0.4594
0.0542 0.8620 0.9594
0.1903 0.0400 0.7506
0.1903 0.4600 0.2506
0.8097 0.5400 0.7494
0.8097 0.9600 0.2494
0.9458 0.1380 0.0406
0.9458 0.3620 0.5406
0.3736 0.2114 0.8358
0.3736 0.2886 0.3358
0.6264 0.7114 0.6642
0.6264 0.7886 0.1642
```

total energy: -3.180 eV per atom
energy above the most stable polymorph in this dataset: 0.0 meV/atom
SG: P2_1/c, No. 14
V: 341.1 Å³ per cell
crystal system: monoclinic
size of the total moment: 0.000 μB per cell